(1)
ScCrBr2 (GGA-PBE, relaxed); space group = Imm2; relative energy among the computed polymorphs = 4.95 kcal/mol of atoms; crystal system = orthorhombic; spin magnetization = 8.30 Bohr magnetons per cell
1.0
3.3707 0.0000 0.0000
0.0000 4.6379 0.0000
0.0000 0.0000 12.7370
Sc Cr Br
2 2 4
Direct
0.0000 0.0000 0.0000 Sc
0.5000 0.5000 0.5000 Sc
0.0000 0.5000 0.6943 Cr
0.5000 0.0000 0.1943 Cr
0.0000 0.0000 0.5471 Br
0.0000 0.5000 0.3250 Br
0.5000 0.0000 0.8250 Br
0.5000 0.5000 0.0471 Br

=====

(2)
ScCrBr (GGA-PBE, relaxed); space group = F-43m; relative energy among the computed polymorphs = 14.06 kcal/mol of atoms; crystal system = cubic; spin magnetization = 12.43 Bohr magnetons per cell
1.0
6.3820 0.0000 0.0000
0.0000 6.3820 0.0000
0.0000 0.0000 6.3820
Sc Cr Br
4 4 4
Direct
0.0000 0.0000 0.0000 Sc
0.0000 0.5000 0.5000 Sc
0.5000 0.0000 0.5000 Sc
0.5000 0.5000 0.0000 Sc
0.0000 0.0000 0.5000 Cr
0.0000 0.5000 0.0000 Cr
0.5000 0.0000 0.0000 Cr
0.5000 0.5000 0.5000 Cr
0.2500 0.2500 0.7500 Br
0.2500 0.7500 0.2500 Br
0.7500 0.2500 0.2500 Br
0.7500 0.7500 0.7500 Br

=====

(3)
Sc2CrBr (GGA-PBE, relaxed); space group = I-42d; relative energy among the computed polymorphs = 11.25 kcal/mol of atoms; crystal system = tetragonal; spin magnetization = 12.04 Bohr magnetons per cell
1.0
7.4992 0.0000 0.0000
0.0000 7.4992 0.0000
0.0000 0.0000 6.4530
Sc Cr Br
8 4 4
Direct
0.2294 0.2500 0.1250 Sc
0.2500 0.7294 0.3750 Sc
0.2500 0.7706 0.8750 Sc
0.2706 0.2500 0.6250 Sc
0.7294 0.7500 0.6250 Sc
0.7500 0.2294 0.8750 Sc
0.7500 0.2706 0.3750 Sc
0.7706 0.7500 0.1250 Sc
0.0000 0.0000 0.5000 Cr
0.0000 0.5000 0.7500 Cr
0.5000 0.0000 0.2500 Cr
0.5000 0.5000 0.0000 Cr
0.0000 0.0000 0.0000 Br
0.0000 0.5000 0.2500 Br
0.5000 0.0000 0.7500 Br
0.5000 0.5000 0.5000 Br

=====

(4)
ScCrBr (GGA-PBE, relaxed); space group = F-43m; relative energy among the computed polymorphs = 15.63 kcal/mol of atoms; crystal system = cubic; spin magnetization = 17.21 Bohr magnetons per cell
1.0
6.7143 0.0000 0.0000
0.0000 6.7143 0.0000
0.0000 0.0000 6.7143
Sc Cr Br
4 4 4
Direct
0.0000 0.0000 0.0000 Sc
0.0000 0.5000 0.5000 Sc
0.5000 0.0000 0.5000 Sc
0.5000 0.5000 0.0000 Sc
0.2500 0.2500 0.7500 Cr
0.2500 0.7500 0.2500 Cr
0.7500 0.2500 0.2500 Cr
0.7500 0.7500 0.7500 Cr
0.2500 0.2500 0.2500 Br
0.2500 0.7500 0.7500 Br
0.7500 0.2500 0.7500 Br
0.7500 0.7500 0.2500 Br

=====

(5)
ScCrBr2 (GGA-PBE, relaxed); space group = P4/mmm; relative energy among the computed polymorphs = 6.11 kcal/mol of atoms; crystal system = tetragonal; spin magnetization = 5.13 Bohr magnetons per cell
1.0
3.4883 0.0000 0.0000
0.0000 3.4883 0.0000
0.0000 0.0000 7.0609
Sc Cr Br
1 1 2
Direct
0.0000 0.0000 0.0000 Sc
0.0000 0.0000 0.5000 Cr
0.5000 0.5000 0.2260 Br
0.5000 0.5000 0.7740 Br

=====

(6)
Sc2CrBr (GGA-PBE, relaxed); space group = R-3m; relative energy among the computed polymorphs = 2.32 kcal/mol of atoms; crystal system = trigonal; spin magnetization = 6.08 Bohr magnetons per cell
1.0
3.3621 0.0000 0.0000
-1.6810 2.9116 0.0000
0.0000 0.0000 25.1903
Sc Cr Br
6 3 3
Direct
0.0000 0.0000 0.2459 Sc
0.0000 0.0000 0.7541 Sc
0.3333 0.6667 0.4207 Sc
0.3333 0.6667 0.9126 Sc
0.6667 0.3333 0.0874 Sc
0.6667 0.3333 0.5793 Sc
0.0000 0.0000 0.5000 Cr
0.3333 0.6667 0.1667 Cr
0.6667 0.3333 0.8333 Cr
0.0000 0.0000 0.0000 Br
0.3333 0.6667 0.6667 Br
0.6667 0.3333 0.3333 Br

=====

(7)
Sc2CrBr (GGA-PBE, relaxed); space group = I-4m2; relative energy among the computed polymorphs = 10.30 kcal/mol of atoms; crystal system = tetragonal; spin magnetization = 6.21 Bohr magnetons per cell
1.0
4.0107 0.0000 0.0000
0.0000 4.0107 0.0000
0.0000 0.0000 10.2805
Sc Cr Br
4 2 2
Direct
0.0000 0.0000 0.0000 Sc
0.0000 0.5000 0.2500 Sc
0.5000 0.0000 0.7500 Sc
0.5000 0.5000 0.5000 Sc
0.0000 0.0000 0.5000 Cr
0.5000 0.5000 0.0000 Cr
0.0000 0.5000 0.7500 Br
0.5000 0.0000 0.2500 Br

=====

(8)
ScCrBr3 (GGA-PBE, relaxed); space group = Pm-3m; crystal system = cubic; spin magnetization = 5.97 Bohr magnetons per cell
1.0
5.2065 0.0000 0.0000
0.0000 5.2065 0.0000
0.0000 0.0000 5.2065
Sc Cr Br
1 1 3
Direct
0.0000 0.0000 0.0000 Sc
0.5000 0.5000 0.5000 Cr
0.0000 0.5000 0.5000 Br
0.5000 0.0000 0.5000 Br
0.5000 0.5000 0.0000 Br

=====

(9)
ScCrBr2 (GGA-PBE, relaxed); space group = R-3m; relative energy among the computed polymorphs = 12.80 kcal/mol of atoms; crystal system = trigonal; spin magnetization = 0.00 Bohr magnetons per cell
1.0
3.3202 0.0000 0.0000
-1.6601 2.8754 0.0000
0.0000 0.0000 26.2276
Sc Cr Br
3 3 6
Direct
0.0000 0.0000 0.0000 Sc
0.3333 0.6667 0.6667 Sc
0.6667 0.3333 0.3333 Sc
0.0000 0.0000 0.5000 Cr
0.3333 0.6667 0.1667 Cr
0.6667 0.3333 0.8333 Cr
0.0000 0.0000 0.4074 Br
0.0000 0.0000 0.5926 Br
0.3333 0.6667 0.0741 Br
0.3333 0.6667 0.2593 Br
0.6667 0.3333 0.7407 Br
0.6667 0.3333 0.9259 Br

=====

(10)
ScCrBr2 (GGA-PBE, relaxed); space group = I-42d; relative energy among the computed polymorphs = 7.20 kcal/mol of atoms; crystal system = tetragonal; spin magnetization = 14.17 Bohr magnetons per cell
1.0
4.8231 0.0000 0.0000
0.0000 4.8231 0.0000
0.0000 0.0000 16.9626
Sc Cr Br
4 4 8
Direct
0.0000 0.0000 0.0000 Sc
0.0000 0.5000 0.2500 Sc
0.5000 0.0000 0.7500 Sc
0.5000 0.5000 0.5000 Sc
0.0000 0.0000 0.5000 Cr
0.0000 0.5000 0.7500 Cr
0.5000 0.0000 0.2500 Cr
0.5000 0.5000 0.0000 Cr
0.2464 0.2500 0.6250 Br
0.2500 0.7464 0.8750 Br
0.2500 0.7536 0.3750 Br
0.2536 0.2500 0.1250 Br
0.7464 0.7500 0.1250 Br
0.7500 0.2464 0.3750 Br
0.7500 0.2536 0.8750 Br
0.7536 0.7500 0.6250 Br

=====

(11)
Sc2CrBr (GGA-PBE, relaxed); space group = R-3m; relative energy among the computed polymorphs = 6.34 kcal/mol of atoms; crystal system = trigonal; spin magnetization = 9.32 Bohr magnetons per cell
1.0
3.5255 0.0000 0.0000
-1.7628 3.0532 0.0000
0.0000 0.0000 27.2586
Sc Cr Br
6 3 3
Direct
0.0000 0.0000 0.0958 Sc
0.0000 0.0000 0.9042 Sc
0.3333 0.6667 0.5709 Sc
0.3333 0.6667 0.7624 Sc
0.6667 0.3333 0.2376 Sc
0.6667 0.3333 0.4291 Sc
0.0000 0.0000 0.5000 Cr
0.3333 0.6667 0.1667 Cr
0.6667 0.3333 0.8333 Cr
0.0000 0.0000 0.0000 Br
0.3333 0.6667 0.6667 Br
0.6667 0.3333 0.3333 Br

=====

(12)
ScCrBr (GGA-PBE, relaxed); space group = P3m1; relative energy among the computed polymorphs = 0.00 kcal/mol of atoms; crystal system = trigonal; spin magnetization = 3.51 Bohr magnetons per cell
1.0
3.4244 0.0000 0.0000
-1.7122 2.9656 0.0000
0.0000 0.0000 6.6195
Sc Cr Br
1 1 1
Direct
0.0000 0.0000 0.0000 Sc
0.3333 0.6667 0.6882 Cr
0.6667 0.3333 0.2943 Br

=====

(13)
Sc2CrBr (GGA-PBE, relaxed); space group = Pmmm; relative energy among the computed polymorphs = 0.00 kcal/mol of atoms; crystal system = orthorhombic; spin magnetization = 2.20 Bohr magnetons per cell
1.0
3.2837 0.0000 0.0000
0.0000 3.3687 0.0000
0.0000 0.0000 7.9172
Sc Cr Br
2 1 1
Direct
0.0000 0.0000 0.2038 Sc
0.0000 0.0000 0.7962 Sc
0.5000 0.5000 0.0000 Cr
0.5000 0.0000 0.5000 Br

=====

(14)
Sc2CrBr (GGA-PBE, relaxed); space group = Cm; relative energy among the computed polymorphs = 6.28 kcal/mol of atoms; crystal system = monoclinic; spin magnetization = 5.78 Bohr magnetons per cell
1.0
10.5723 0.0000 0.0000
0.0000 3.2463 0.0000
-1.4037 0.0000 4.8545
Sc Cr Br
4 2 2
Direct
0.0000 0.0000 0.0000 Sc
0.2109 0.0000 0.6316 Sc
0.5000 0.5000 0.0000 Sc
0.7109 0.5000 0.6316 Sc
0.4737 0.0000 0.5113 Cr
0.9737 0.5000 0.5113 Cr
0.2558 0.5000 0.1348 Br
0.7558 0.0000 0.1348 Br

=====

(15)
ScCrBr (GGA-PBE, relaxed); space group = I4mm; relative energy among the computed polymorphs = 1.53 kcal/mol of atoms; crystal system = tetragonal; spin magnetization = 7.78 Bohr magnetons per cell
1.0
3.3454 0.0000 0.0000
0.0000 3.3454 0.0000
0.0000 0.0000 12.5572
Sc Cr Br
2 2 2
Direct
0.0000 0.0000 0.0000 Sc
0.5000 0.5000 0.5000 Sc
0.0000 0.0000 0.3596 Cr
0.5000 0.5000 0.8596 Cr
0.0000 0.0000 0.6337 Br
0.5000 0.5000 0.1337 Br

=====

(16)
ScCrBr (GGA-PBE, relaxed); space group = P3m1; relative energy among the computed polymorphs = 7.58 kcal/mol of atoms; crystal system = trigonal; spin magnetization = 3.88 Bohr magnetons per cell
1.0
4.6721 0.0000 0.0000
-2.3360 4.0461 0.0000
0.0000 0.0000 3.3939
Sc Cr Br
1 1 1
Direct
0.0000 0.0000 0.0000 Sc
0.6667 0.3333 0.4722 Cr
0.3333 0.6667 0.2022 Br

=====

(17)
Sc2CrBr (GGA-PBE, relaxed); space group = Cmmm; relative energy among the computed polymorphs = 6.39 kcal/mol of atoms; crystal system = orthorhombic; spin magnetization = 5.20 Bohr magnetons per cell
1.0
6.5185 0.0000 0.0000
0.0000 7.7409 0.0000
0.0000 0.0000 3.2094
Sc Cr Br
4 2 2
Direct
0.2500 0.2500 0.0000 Sc
0.2500 0.7500 0.0000 Sc
0.7500 0.2500 0.0000 Sc
0.7500 0.7500 0.0000 Sc
0.0000 0.0000 0.5000 Cr
0.5000 0.5000 0.5000 Cr
0.0000 0.5000 0.5000 Br
0.5000 0.0000 0.5000 Br

=====

(18)
ScCrBr2 (GGA-PBE, relaxed); space group = C2/m; relative energy among the computed polymorphs = 1.03 kcal/mol of atoms; crystal system = monoclinic; spin magnetization = 6.14 Bohr magnetons per cell
1.0
14.3902 0.0000 0.0000
0.0000 3.4949 0.0000
-0.3747 0.0000 4.6989
Sc Cr Br
2 2 4
Direct
0.0000 0.0000 0.0000 Sc
0.5000 0.5000 0.0000 Sc
0.0000 0.5000 0.5000 Cr
0.5000 0.0000 0.5000 Cr
0.1381 0.5000 0.2137 Br
0.3619 0.0000 0.7863 Br
0.6381 0.0000 0.2137 Br
0.8619 0.5000 0.7863 Br

=====

(19)
ScCr3Br (GGA-PBE, relaxed); space group = Pm-3m; relative energy among the computed polymorphs = 16.13 kcal/mol of atoms; crystal system = cubic; spin magnetization = 12.60 Bohr magnetons per cell
1.0
5.1072 0.0000 0.0000
0.0000 5.1072 0.0000
0.0000 0.0000 5.1072
Sc Cr Br
1 3 1
Direct
0.0000 0.0000 0.0000 Sc
0.0000 0.0000 0.5000 Cr
0.0000 0.5000 0.0000 Cr
0.5000 0.0000 0.0000 Cr
0.5000 0.5000 0.5000 Br

=====

(20)
Sc2CrBr (GGA-PBE, relaxed); space group = Cmm2; relative energy among the computed polymorphs = 6.94 kcal/mol of atoms; crystal system = orthorhombic; spin magnetization = 8.03 Bohr magnetons per cell
1.0
3.7155 0.0000 0.0000
0.0000 5.4185 0.0000
0.0000 0.0000 9.2039
Sc Cr Br
4 2 2
Direct
0.0000 0.0000 0.0000 Sc
0.0000 0.5000 0.2686 Sc
0.5000 0.0000 0.2686 Sc
0.5000 0.5000 0.0000 Sc
0.0000 0.0000 0.4982 Cr
0.5000 0.5000 0.4982 Cr
0.0000 0.5000 0.7817 Br
0.5000 0.0000 0.7817 Br

=====

Number 1: VASP energy -5.110 eV per atom, V 24.890 Å³/atom, ΔE_f (raw) -0.28 eV per atom. Number 2: VASP energy -5.383 eV per atom, V 21.662 Å³/atom, ΔE_f (raw) 0.49 eV per atom. Number 3: VASP energy -5.785 eV per atom, V 22.681 Å³/atom, ΔE_f (raw) 0.21 eV per atom. Number 4: VASP energy -5.315 eV per atom, V 25.224 Å³/atom, ΔE_f (raw) 0.56 eV per atom. Number 5: VASP energy -5.059 eV per atom, V 21.480 Å³/atom, ΔE_f (raw) -0.23 eV per atom. Number 6: VASP energy -6.172 eV per atom, V 20.549 Å³/atom, ΔE_f (raw) -0.18 eV per atom. Number 7: VASP energy -5.826 eV per atom, V 20.671 Å³/atom, ΔE_f (raw) 0.16 eV per atom. Number 8: VASP energy -4.475 eV per atom, V 28.227 Å³/atom, ΔE_f (raw) -0.28 eV per atom. Number 9: VASP energy -4.769 eV per atom, V 20.866 Å³/atom, ΔE_f (raw) 0.06 eV per atom. Number 10: VASP energy -5.012 eV per atom, V 24.662 Å³/atom, ΔE_f (raw) -0.19 eV per atom. Number 11: VASP energy -5.997 eV per atom, V 24.451 Å³/atom, ΔE_f (raw) -0.01 eV per atom. Number 12: VASP energy -5.993 eV per atom, V 22.408 Å³/atom, ΔE_f (raw) -0.12 eV per atom. Number 13: VASP energy -6.272 eV per atom, V 21.895 Å³/atom, ΔE_f (raw) -0.28 eV per atom. Number 14: VASP energy -6.000 eV per atom, V 20.826 Å³/atom, ΔE_f (raw) -0.01 eV per atom. Number 15: VASP energy -5.927 eV per atom, V 23.422 Å³/atom, ΔE_f (raw) -0.05 eV per atom. Number 16: VASP energy -5.665 eV per atom, V 21.386 Å³/atom, ΔE_f (raw) 0.21 eV per atom. Number 17: VASP energy -5.995 eV per atom, V 20.243 Å³/atom, ΔE_f (raw) -0.01 eV per atom. Number 18: VASP energy -5.280 eV per atom, V 29.540 Å³/atom, ΔE_f (raw) -0.45 eV per atom. Number 19: VASP energy -5.657 eV per atom, V 26.643 Å³/atom, ΔE_f (raw) 1.72 eV per atom. Number 20: VASP energy -5.971 eV per atom, V 23.163 Å³/atom, ΔE_f (raw) 0.02 eV per atom.